*1*
The following is a PBE-GGA calculation of Ta3Se5 after structural relaxation, from the Alexandria database.

Summary:
The density is 9.6 g/cm³. The density of states at the Fermi level comes out at 0.50 states/eV/atom. As for the space group: P-1.

a = 6.506 Å, b = 7.132 Å, c = 7.605 Å
α = 82.05°, β = 74.19°, γ = 73.82°
Sites, in units of the cell vectors:
Ta 0.003 0.208 0.063
Ta 0.161 0.073 0.592
Ta 0.289 0.594 0.294
Ta 0.711 0.406 0.706
Ta 0.839 0.927 0.408
Ta 0.997 0.792 0.937
Se 0.012 0.626 0.628
Se 0.235 0.969 0.266
Se 0.293 0.450 0.977
Se 0.312 0.961 0.868
Se 0.477 0.278 0.496
Se 0.523 0.722 0.504
Se 0.688 0.039 0.132
Se 0.707 0.550 0.023
Se 0.765 0.031 0.734
Se 0.988 0.374 0.372

*2*
The following is a PBE-GGA calculation of Ta3Se5 after structural relaxation, from the Alexandria database.

Summary:
The density is 10.0 g/cm³. The density of states at the Fermi level comes out at 1.16 states/eV/atom. As for the space group: P6_3/mcm.

a = 7.722 Å, b = 7.722 Å, c = 6.042 Å
α = 90.00°, β = 90.00°, γ = 120.00°
Sites, in units of the cell vectors:
Ta 0.000 0.409 0.250
Ta 0.000 0.591 0.750
Ta 0.409 0.000 0.250
Ta 0.409 0.409 0.750
Ta 0.591 0.000 0.750
Ta 0.591 0.591 0.250
Se 0.000 0.258 0.750
Se 0.000 0.742 0.250
Se 0.258 0.000 0.750
Se 0.258 0.258 0.250
Se 0.333 0.667 0.000
Se 0.333 0.667 0.500
Se 0.667 0.333 0.000
Se 0.667 0.333 0.500
Se 0.742 0.000 0.250
Se 0.742 0.742 0.750

Stability check: which of them is most stable? *1*.

*1*
The following is a PBE-GGA calculation of TaTcSe3 after structural relaxation, from the Alexandria database.

Summary:
The density is 7.8 g/cm³. The density of states at the Fermi level comes out at 1.98 states/eV/atom. As for the space group: Pm-3m.

a = 4.795 Å, b = 4.795 Å, c = 4.795 Å
α = 90.00°, β = 90.00°, γ = 90.00°
Sites, in units of the cell vectors:
Ta 0.000 0.000 0.000
Tc 0.500 0.500 0.500
Se 0.000 0.500 0.500
Se 0.500 0.000 0.500
Se 0.500 0.500 0.000

*2*
The following is a PBE-GGA calculation of TaTcSe3 after structural relaxation, from the Alexandria database.

Summary:
The density is 6.7 g/cm³. The density of states at the Fermi level comes out at 0.74 states/eV/atom. As for the space group: Pm-3m.

a = 5.026 Å, b = 5.026 Å, c = 5.026 Å
α = 90.00°, β = 90.00°, γ = 90.00°
Sites, in units of the cell vectors:
Ta 0.000 0.000 0.000
Tc 0.500 0.500 0.500
Se 0.000 0.000 0.500
Se 0.000 0.500 0.000
Se 0.500 0.000 0.000

Stability check: which of them is most stable? *2*.